(1)
A plane-wave DFT calculation with PBE was carried out for Pr6Ir3Au after structural relaxation.

Unit cell a=11.1846 b=14.4261 c=7.3889 alpha=90.00 beta=90.00 gamma=90.00
Last column: nearest neighbours and their distance in Å.
Space group Cmc2_1 (No. 36)
One atom of each set of equivalent atoms:
Pr 0.0000 0.0138 0.0000 (multiplicity 4)  2 Ir 2.91, 2 Au 3.00-3.09
Pr 0.0000 0.2293 0.6571 (multiplicity 4)  3 Ir 2.89-2.96, 1 Au 2.96
Pr 0.1668 0.4718 0.5999 (multiplicity 8)  4 Ir 2.98-3.09
Pr 0.1751 0.2773 0.0529 (multiplicity 8)  3 Ir 2.89-3.04, 1 Au 3.02
Ir 0.0000 0.3993 0.8815 (multiplicity 4)  7 Pr 2.92-3.09
Ir 0.1855 0.1110 0.8006 (multiplicity 8)  6 Pr 2.89-3.04
Au 0.0000 0.1667 0.2760 (multiplicity 4)  5 Pr 2.96-3.09

- spin magnetization (Bohr magnetons per cell) = 0.00
- energy of formation from the pure elements (eV/atom) = -0.52
- N(E_F) (states/eV/atom) = 0.773

=====

(2)
A plane-wave DFT calculation with PBE was carried out for Pr5Ir2Au after structural relaxation.

Unit cell a=5.8493 b=13.1598 c=14.3824 alpha=90.00 beta=90.00 gamma=90.00
Last column: nearest neighbours and their distance in Å.
Space group Cmcm (No. 63)
One atom of each set of equivalent atoms:
Pr 0.0000 0.0534 0.1142 (multiplicity 8)  2 Ir 2.81, 1 Au 3.05
Pr 0.0000 0.2322 0.7500 (multiplicity 4)  2 Ir 2.94, 2 Au 2.96
Pr 0.0000 0.3377 0.0545 (multiplicity 8)  3 Ir 2.93-2.94, 1 Au 3.14
Ir 0.0000 0.1517 0.5591 (multiplicity 8)  6 Pr 2.81-2.94
Au 0.0000 0.2314 0.2500 (multiplicity 4)  6 Pr 2.96-3.14

- spin magnetization (Bohr magnetons per cell) = 0.00
- energy of formation from the pure elements (eV/atom) = -0.44
- N(E_F) (states/eV/atom) = 0.686

=====

(3)
A plane-wave DFT calculation with PBE was carried out for Pr6IrAu2 after structural relaxation.

Unit cell a=7.0156 b=7.6222 c=12.3912 alpha=90.00 beta=120.47 gamma=90.00
Last column: nearest neighbours and their distance in Å.
Space group P2_1/c (No. 14)
One atom of each set of equivalent atoms:
Pr 0.1079 0.0354 0.2549 (multiplicity 4)  1 Ir 2.86, 2 Au 3.08-3.09
Pr 0.2434 0.6803 0.0698 (multiplicity 4)  1 Ir 2.85, 2 Au 3.11-3.13
Pr 0.3860 0.1921 0.0642 (multiplicity 4)  1 Ir 2.82, 1 Au 3.06
Ir 0.0000 0.0000 0.0000 (multiplicity 2)  6 Pr 2.82-2.86
Au 0.3240 0.1076 0.7690 (multiplicity 4)  6 Pr 3.06-3.18

- spin magnetization (Bohr magnetons per cell) = 0.00
- energy of formation from the pure elements (eV/atom) = -0.49
- N(E_F) (states/eV/atom) = 1.057

=====

(4)
A plane-wave DFT calculation with PBE was carried out for Pr4Ir2Au after structural relaxation.

Unit cell a=9.1319 b=9.1319 c=8.9965 alpha=90.00 beta=90.00 gamma=90.00
Last column: nearest neighbours and their distance in Å.
Space group I-42d (No. 122)
One atom of each set of equivalent atoms:
Pr 0.0648 0.1828 0.3238 (multiplicity 16)  2 Ir 2.84-2.95, 1 Au 3.03
Ir 0.1292 0.2500 0.6250 (multiplicity 8)  4 Pr 2.84-2.95
Au 0.0000 0.0000 0.0000 (multiplicity 4)  4 Pr 3.03

- spin magnetization (Bohr magnetons per cell) = 0.00
- energy of formation from the pure elements (eV/atom) = -0.61
- N(E_F) (states/eV/atom) = 0.723

=====

(5)
A plane-wave DFT calculation with PBE was carried out for Pr7Ir2Au2 after structural relaxation.

Unit cell a=8.2311 b=11.2473 c=7.2720 alpha=90.00 beta=90.00 gamma=90.00
Last column: nearest neighbours and their distance in Å.
Space group Cmmm (No. 65)
One atom of each set of equivalent atoms:
Pr 0.0000 0.0000 0.0000 (multiplicity 2)  2 Ir 3.26
Pr 0.0000 0.5000 0.2512 (multiplicity 4)  2 Ir 2.99, 2 Au 3.17
Pr 0.2500 0.2500 0.2594 (multiplicity 8)  2 Ir 2.83
Ir 0.0000 0.2900 0.0000 (multiplicity 4)  6 Pr 2.83-2.99
Au 0.1838 0.0000 0.5000 (multiplicity 4)  1 Au 3.03, 6 Pr 3.17-3.36

- spin magnetization (Bohr magnetons per cell) = 0.00
- energy of formation from the pure elements (eV/atom) = -0.44
- N(E_F) (states/eV/atom) = 1.182

=====

(6)
A plane-wave DFT calculation with PBE was carried out for Pr12IrAu6 after structural relaxation.

Unit cell a=13.1750 b=13.1750 c=12.6147 alpha=90.00 beta=90.00 gamma=120.00
Last column: nearest neighbours and their distance in Å.
Space group R-3 (No. 148, hexagonal axes)
One atom of each set of equivalent atoms:
Pr 0.0299 0.2120 0.3955 (multiplicity 18)  4 Au 2.97-3.23
Pr 0.0484 0.2024 0.8840 (multiplicity 18)  1 Ir 2.82, 2 Au 3.05-3.14
Ir 0.0000 0.0000 0.0000 (multiplicity 3)  6 Pr 2.82
Au 0.0477 0.2707 0.6458 (multiplicity 18)  6 Pr 2.97-3.23

- spin magnetization (Bohr magnetons per cell) = 0.00
- energy of formation from the pure elements (eV/atom) = -0.45
- N(E_F) (states/eV/atom) = 1.238

=====

(7)
A plane-wave DFT calculation with PBE was carried out for Pr6Ir3Au after structural relaxation.

Unit cell a=12.0633 b=4.2607 c=12.1126 alpha=90.00 beta=108.73 gamma=90.00
Last column: nearest neighbours and their distance in Å.
Space group P2_1/m (No. 11)
One atom of each set of equivalent atoms:
Pr 0.0446 0.2500 0.4057 (multiplicity 2)  3 Ir 2.83-2.86
Pr 0.1094 0.2500 0.9571 (multiplicity 2)  4 Ir 2.90-2.96
Pr 0.2117 0.7500 0.2683 (multiplicity 2)  3 Ir 2.93-2.99
Pr 0.2626 0.7500 0.7717 (multiplicity 2)  3 Ir 2.83-3.00
Pr 0.3768 0.2500 0.5483 (multiplicity 2)  2 Ir 2.93, 3 Au 3.22-3.24
Pr 0.4355 0.7500 0.1007 (multiplicity 2)  3 Ir 2.85-2.92
Ir 0.0409 0.2500 0.1712 (multiplicity 2)  6 Pr 2.83-2.96
Ir 0.2014 0.7500 0.5117 (multiplicity 2)  6 Pr 2.86-3.00
Ir 0.3406 0.2500 0.9322 (multiplicity 2)  6 Pr 2.83-2.92
Au 0.4301 0.2500 0.3046 (multiplicity 2)  7 Pr 3.22-3.31

- spin magnetization (Bohr magnetons per cell) = 0.00
- energy of formation from the pure elements (eV/atom) = -0.59
- N(E_F) (states/eV/atom) = 0.584

=====

(8)
A plane-wave DFT calculation with PBE was carried out for PrIrAu after structural relaxation.

Unit cell a=9.7133 b=5.6758 c=5.1493 alpha=90.00 beta=114.67 gamma=90.00
Last column: nearest neighbours and their distance in Å.
Space group C2/m (No. 12)
One atom of each set of equivalent atoms:
Pr 0.1291 0.0000 0.3839 (multiplicity 4)  3 Ir 2.89-2.94, 4 Au 3.04-3.22, 1 Pr 3.20
Ir 0.0457 0.5000 0.2871 (multiplicity 4)  2 Ir 2.69-2.71, 3 Pr 2.89-2.94, 2 Au 2.98
Au 0.2500 0.2500 0.0000 (multiplicity 4)  2 Au 2.84, 2 Ir 2.98, 2 Pr 3.04

- spin magnetization (Bohr magnetons per cell) = 0.00
- energy of formation from the pure elements (eV/atom) = -0.27
- N(E_F) (states/eV/atom) = 0.538

=====

(9)
A plane-wave DFT calculation with PBE was carried out for Pr8Ir5Au after structural relaxation.

Unit cell a=9.0506 b=9.0506 c=8.9564 alpha=90.00 beta=90.00 gamma=90.00
Last column: nearest neighbours and their distance in Å.
Space group I-4 (No. 82)
One atom of each set of equivalent atoms:
Pr 0.0596 0.3068 0.0700 (multiplicity 8)  3 Ir 2.87-2.93
Pr 0.0657 0.1796 0.6827 (multiplicity 8)  2 Ir 2.87-2.91, 1 Au 3.02
Ir 0.0000 0.0000 0.0000 (multiplicity 2)  4 Pr 2.90
Ir 0.1307 0.2464 0.3761 (multiplicity 8)  4 Pr 2.87-2.93
Au 0.0000 0.5000 0.7500 (multiplicity 2)  4 Pr 3.02

- spin magnetization (Bohr magnetons per cell) = 0.00
- energy of formation from the pure elements (eV/atom) = -0.60
- N(E_F) (states/eV/atom) = 0.294

=====

(10)
A plane-wave DFT calculation with PBE was carried out for Pr8Ir2Au after structural relaxation.

Unit cell a=8.6737 b=13.6753 c=5.9611 alpha=90.00 beta=108.14 gamma=90.00
Last column: nearest neighbours and their distance in Å.
Space group C2/m (No. 12)
One atom of each set of equivalent atoms:
Pr 0.0000 0.2318 0.0000 (multiplicity 4)  2 Ir 3.10, 1 Au 3.17
Pr 0.1206 0.5000 0.8194 (multiplicity 4)  1 Au 3.13, 2 Ir 3.39, 1 Pr 3.44
Pr 0.2116 0.1247 0.5697 (multiplicity 8)  2 Ir 2.89
Ir 0.0000 0.2930 0.5000 (multiplicity 4)  6 Pr 2.89-3.10
Au 0.0000 0.0000 0.0000 (multiplicity 2)  4 Pr 3.13-3.17

- spin magnetization (Bohr magnetons per cell) = 0.00
- energy of formation from the pure elements (eV/atom) = -0.32
- N(E_F) (states/eV/atom) = 1.143

=====

(11)
A plane-wave DFT calculation with PBE was carried out for Pr5IrAu after structural relaxation.

Unit cell a=12.0992 b=7.4444 c=11.2667 alpha=90.00 beta=113.67 gamma=90.00
Last column: nearest neighbours and their distance in Å.
Space group C2/c (No. 15)
One atom of each set of equivalent atoms:
Pr 0.0000 0.0588 0.2500 (multiplicity 4)  2 Ir 2.85, 1 Au 3.02
Pr 0.1089 0.3406 0.0067 (multiplicity 8)  1 Ir 2.84, 1 Au 3.02
Pr 0.2212 0.1705 0.6431 (multiplicity 8)  1 Ir 2.81
Ir 0.0000 0.0000 0.0000 (multiplicity 4)  6 Pr 2.81-2.85
Au 0.0000 0.4651 0.2500 (multiplicity 4)  5 Pr 3.02-3.25

- spin magnetization (Bohr magnetons per cell) = 0.00
- energy of formation from the pure elements (eV/atom) = -0.29
- N(E_F) (states/eV/atom) = 1.046

=====

(12)
A plane-wave DFT calculation with PBE was carried out for Pr4Ir2Au after structural relaxation.

Unit cell a=9.3604 b=9.3645 c=9.5541 alpha=90.00 beta=90.00 gamma=90.00
Last column: nearest neighbours and their distance in Å.
Space group Imma (No. 74)
One atom of each set of equivalent atoms:
Pr 0.0000 0.0615 0.2111 (multiplicity 8)  3 Ir 2.82-2.95, 1 Au 3.03
Pr 0.1886 0.2500 0.5390 (multiplicity 8)  3 Ir 2.82-2.96, 1 Au 3.03
Ir 0.0000 0.0000 0.5000 (multiplicity 4)  6 Pr 2.82-2.96
Ir 0.2500 0.2500 0.2500 (multiplicity 4)  6 Pr 2.82-2.95
Au 0.0000 0.2500 0.8743 (multiplicity 4)  4 Pr 3.03

- spin magnetization (Bohr magnetons per cell) = 0.00
- energy of formation from the pure elements (eV/atom) = -0.53
- N(E_F) (states/eV/atom) = 0.630

=====

(13)
A plane-wave DFT calculation with PBE was carried out for Pr4IrAu after structural relaxation.

Unit cell a=14.0371 b=14.0371 c=14.0371 alpha=90.00 beta=90.00 gamma=90.00
Last column: nearest neighbours and their distance in Å.
Space group F-43m (No. 216)
One atom of each set of equivalent atoms:
Pr 0.0000 0.0000 0.1890 (multiplicity 24)  2 Au 3.20, 2 Pr 3.56, 2 Ir 3.57
Pr 0.0576 0.2500 0.7500 (multiplicity 24)  2 Ir 2.91
Pr 0.1026 0.1026 0.3974 (multiplicity 16)  3 Ir 2.96
Ir 0.1080 0.1080 0.6080 (multiplicity 16)  6 Pr 2.91-2.96
Au 0.1597 0.1597 0.1597 (multiplicity 16)  9 Pr 3.20-3.54

- spin magnetization (Bohr magnetons per cell) = 0.00
- energy of formation from the pure elements (eV/atom) = -0.52
- N(E_F) (states/eV/atom) = 0.932

=====

(14)
A plane-wave DFT calculation with PBE was carried out for Pr5Ir2Au after structural relaxation.

Unit cell a=8.0119 b=8.0119 c=13.8065 alpha=90.00 beta=90.00 gamma=90.00
Last column: nearest neighbours and their distance in Å.
Space group I4/mcm (No. 140)
One atom of each set of equivalent atoms:
Pr 0.0000 0.0000 0.0000 (multiplicity 4)  4 Ir 3.12, 2 Au 3.45
Pr 0.1643 0.3357 0.1360 (multiplicity 16)  3 Ir 2.95-3.05
Ir 0.1349 0.3651 0.5000 (multiplicity 8)  8 Pr 2.95-3.12, 1 Ir 3.06
Au 0.0000 0.0000 0.2500 (multiplicity 4)  10 Pr 3.38-3.45

- spin magnetization (Bohr magnetons per cell) = 0.00
- energy of formation from the pure elements (eV/atom) = -0.60
- N(E_F) (states/eV/atom) = 1.046

=====

(15)
A plane-wave DFT calculation with PBE was carried out for Pr4IrAu after structural relaxation.

Unit cell a=9.0240 b=13.9898 c=6.2751 alpha=90.00 beta=117.75 gamma=90.00
Last column: nearest neighbours and their distance in Å.
Space group C2/c (No. 15)
One atom of each set of equivalent atoms:
Pr 0.1204 0.1818 0.0837 (multiplicity 8)  2 Ir 3.12-3.16, 2 Au 3.18-3.28
Pr 0.2123 0.4317 0.3107 (multiplicity 8)  2 Ir 2.93-2.96, 2 Au 3.22-3.23
Ir 0.0000 0.0012 0.2500 (multiplicity 4)  8 Pr 2.93-3.16, 2 Ir 3.14
Au 0.0000 0.3751 0.7500 (multiplicity 4)  8 Pr 3.18-3.28

- spin magnetization (Bohr magnetons per cell) = 0.00
- energy of formation from the pure elements (eV/atom) = -0.49
- N(E_F) (states/eV/atom) = 1.138

=====

(16)
A plane-wave DFT calculation with PBE was carried out for Pr8Ir3Au2 after structural relaxation.

Unit cell a=8.9592 b=5.0168 c=8.9694 alpha=90.00 beta=109.82 gamma=90.00
Last column: nearest neighbours and their distance in Å.
Space group P2/m (No. 10)
One atom of each set of equivalent atoms:
Pr 0.1169 0.0000 0.3827 (multiplicity 2)  4 Ir 3.04-3.17, 2 Au 3.26
Pr 0.1268 0.5000 0.8618 (multiplicity 2)  3 Ir 3.05, 2 Au 3.20-3.26
Pr 0.3615 0.5000 0.6266 (multiplicity 2)  3 Ir 3.05, 2 Au 3.20-3.27
Pr 0.3834 0.0000 0.1167 (multiplicity 2)  2 Ir 3.02, 2 Au 3.10
Ir 0.0000 0.5000 0.5000 (multiplicity 1)  8 Pr 3.04-3.05
Ir 0.2585 0.0000 0.7585 (multiplicity 2)  8 Pr 3.02-3.17
Au 0.2588 0.5000 0.2406 (multiplicity 2)  8 Pr 3.10-3.27

- spin magnetization (Bohr magnetons per cell) = 0.00
- energy of formation from the pure elements (eV/atom) = -0.50
- N(E_F) (states/eV/atom) = 1.212

=====

(17)
A plane-wave DFT calculation with PBE was carried out for Pr4IrAu3 after structural relaxation.

Unit cell a=3.9487 b=4.7652 c=11.1785 alpha=90.00 beta=90.00 gamma=90.00
Last column: nearest neighbours and their distance in Å.
Space group Pmm2 (No. 25)
One atom of each set of equivalent atoms:
Pr 0.0000 0.0000 0.0000 (multiplicity 1)  2 Ir 3.07, 5 Au 3.12-3.26
Pr 0.0000 0.5000 0.2587 (multiplicity 1)  3 Au 3.11-3.17, 4 Ir 3.14
Pr 0.5000 0.0000 0.4684 (multiplicity 1)  1 Ir 2.89, 4 Au 3.19
Pr 0.5000 0.5000 0.7605 (multiplicity 1)  7 Au 3.09-3.18
Ir 0.5000 0.0000 0.2098 (multiplicity 1)  7 Pr 2.89-3.14, 2 Au 3.07
Au 0.0000 0.0000 0.7080 (multiplicity 1)  2 Au 3.05, 7 Pr 3.15-3.33
Au 0.0000 0.5000 0.5373 (multiplicity 1)  2 Au 3.05, 7 Pr 3.11-3.19
Au 0.5000 0.5000 0.0370 (multiplicity 1)  2 Ir 3.07, 7 Pr 3.09-3.17

- spin magnetization (Bohr magnetons per cell) = 0.00
- energy of formation from the pure elements (eV/atom) = -0.76
- N(E_F) (states/eV/atom) = 0.773

=====

(18)
A plane-wave DFT calculation with PBE was carried out for PrPuIrAu after structural relaxation.

Unit cell a=7.1886 b=7.1886 c=7.1886 alpha=90.00 beta=90.00 gamma=90.00
Last column: nearest neighbours and their distance in Å.
Space group F-43m (No. 216)
One atom of each set of equivalent atoms:
Pr 0.0000 0.0000 0.0000 (multiplicity 4)  4 Ir 3.11, 4 Au 3.11
Pu 0.0000 0.0000 0.5000 (multiplicity 4)  4 Ir 3.11, 4 Au 3.11
Ir 0.2500 0.2500 0.2500 (multiplicity 4)  4 Pr 3.11, 4 Pu 3.11
Au 0.2500 0.2500 0.7500 (multiplicity 4)  4 Pr 3.11, 4 Pu 3.11

- spin magnetization (Bohr magnetons per cell) = 22.63
- energy of formation from the pure elements (eV/atom) = -0.48
- N(E_F) (states/eV/atom) = 2.989

=====

(19)
A plane-wave DFT calculation with PBE was carried out for PrScIrAu after structural relaxation.

Unit cell a=7.0090 b=7.0090 c=7.0090 alpha=90.00 beta=90.00 gamma=90.00
Last column: nearest neighbours and their distance in Å.
Space group F-43m (No. 216)
One atom of each set of equivalent atoms:
Pr 0.0000 0.0000 0.0000 (multiplicity 4)  4 Ir 3.04, 4 Au 3.04
Sc 0.0000 0.0000 0.5000 (multiplicity 4)  4 Au 3.04, 4 Ir 3.04
Ir 0.2500 0.2500 0.2500 (multiplicity 4)  4 Sc 3.04, 4 Pr 3.04
Au 0.2500 0.2500 0.7500 (multiplicity 4)  4 Pr 3.04, 4 Sc 3.04

- spin magnetization (Bohr magnetons per cell) = 0.00
- energy of formation from the pure elements (eV/atom) = -0.64
- N(E_F) (states/eV/atom) = 0.843